(1)
NaOs2Br | PBE | relaxed

Cell lengths 8.251, 8.251, 6.292 Å; angles 49.03, 49.03, 90.00 degrees
Sites, in units of the cell vectors:
Na  0.500  0.500  0.000
Na  0.250  0.750  0.500
Os  0.681  0.125  0.250
Os  0.069  0.625  0.250
Os  0.375  0.319  0.750
Os  0.875  0.931  0.750
Br  0.000  0.000  0.000
Br  0.750  0.250  0.500

Formation energy without anion corrections, eV per atom: 1.46
Space group: I-42d, No. 122


(2)
NaOsBr6 | PBE | relaxed

Cell lengths 6.844, 6.846, 7.393 Å; angles 62.44, 62.47, 60.00 degrees
Sites, in units of the cell vectors:
Na  0.500  0.500  0.500
Os  0.000  0.000  0.000
Br  0.043  0.389  0.772
Br  0.795  0.043  0.772
Br  0.611  0.204  0.228
Br  0.205  0.957  0.228
Br  0.957  0.611  0.228
Br  0.389  0.796  0.772

Formation energy without anion corrections, eV per atom: -0.44
Space group: R-3, No. 148


(3)
Na2OsBr | PBE | relaxed

Cell lengths 8.168, 8.168, 6.371 Å; angles 50.13, 50.13, 90.00 degrees
Sites, in units of the cell vectors:
Na  0.606  0.125  0.250
Na  0.144  0.625  0.250
Na  0.375  0.394  0.750
Na  0.875  0.856  0.750
Os  0.000  0.000  0.000
Os  0.750  0.250  0.500
Br  0.500  0.500  0.000
Br  0.250  0.750  0.500

Formation energy without anion corrections, eV per atom: 0.80
Space group: I-42d, No. 122


(4)
NaOsBr5 | PBE | relaxed

Cell lengths 7.825, 7.825, 10.650 Å; angles 104.61, 104.61, 123.11 degrees
Sites, in units of the cell vectors:
Na  0.790  0.710  0.250
Na  0.210  0.290  0.750
Os  0.000  0.000  0.000
Os  0.500  0.500  0.500
Br  0.622  0.793  0.008
Br  0.703  0.406  0.393
Br  0.293  0.122  0.508
Br  0.172  0.328  0.250
Br  0.094  0.797  0.107
Br  0.906  0.203  0.893
Br  0.828  0.672  0.750
Br  0.707  0.878  0.492
Br  0.297  0.594  0.607
Br  0.378  0.207  0.992

Formation energy without anion corrections, eV per atom: -0.47
Space group: C2/c, No. 15


(5)
NaOs2Br | PBE | relaxed

Cell lengths 4.476, 4.476, 4.476 Å; angles 60.00, 60.00, 60.00 degrees
Sites, in units of the cell vectors:
Na  0.000  0.000  0.000
Os  0.250  0.250  0.250
Os  0.750  0.750  0.750
Br  0.500  0.500  0.500

Formation energy without anion corrections, eV per atom: 1.82
Space group: Fm-3m, No. 225


(6)
RbNaOsBr6 | PBE | relaxed

Cell lengths 7.332, 7.332, 14.518 Å; angles 90.00, 90.00, 120.00 degrees
Sites, in units of the cell vectors:
Rb  0.000  0.000  0.000
Rb  0.000  0.000  0.500
Na  0.333  0.667  0.250
Na  0.667  0.333  0.750
Os  0.667  0.333  0.250
Os  0.333  0.667  0.750
Br  0.654  0.606  0.150
Br  0.951  0.346  0.150
Br  0.346  0.951  0.650
Br  0.049  0.654  0.850
Br  0.394  0.346  0.350
Br  0.951  0.606  0.350
Br  0.606  0.951  0.850
Br  0.654  0.049  0.350
Br  0.049  0.394  0.650
Br  0.394  0.049  0.150
Br  0.606  0.654  0.650
Br  0.346  0.394  0.850

Formation energy without anion corrections, eV per atom: -0.78
Space group: P-31c, No. 163


(7)
RbNa2OsBr8 | PBE | relaxed

Cell lengths 6.957, 6.681, 10.013 Å; angles 61.13, 90.27, 93.90 degrees
Sites, in units of the cell vectors:
Rb  0.000  0.000  0.500
Na  0.517  0.262  0.759
Na  0.483  0.738  0.241
Os  0.000  0.000  0.000
Br  0.038  0.664  0.260
Br  0.696  0.807  0.965
Br  0.812  0.179  0.118
Br  0.962  0.336  0.740
Br  0.304  0.193  0.035
Br  0.188  0.821  0.882
Br  0.503  0.744  0.523
Br  0.497  0.256  0.477

Formation energy without anion corrections, eV per atom: -0.82
Space group: P-1, No. 2


(8)
NaRe2OsBr | PBE | relaxed

Cell lengths 4.620, 4.627, 4.620 Å; angles 90.00, 90.00, 90.00 degrees
Sites, in units of the cell vectors:
Re  0.000  0.000  0.500
Re  0.500  0.000  0.000
Os  0.000  0.500  0.000
Br  0.000  0.000  0.000
Na  0.500  0.500  0.500

Formation energy without anion corrections, eV per atom: 2.30
Space group: P4/mmm, No. 123


(9)
NaOsSe2Br | PBE | relaxed

Cell lengths 4.804, 4.804, 5.721 Å; angles 90.00, 90.00, 90.00 degrees
Sites, in units of the cell vectors:
Na  0.500  0.500  0.500
Os  0.000  0.000  0.000
Se  0.000  0.500  0.000
Se  0.500  0.000  0.000
Br  0.000  0.000  0.500

Formation energy without anion corrections, eV per atom: -0.01
Space group: P4/mmm, No. 123


(10)
NaOsSe2Br | PBE | relaxed

Cell lengths 5.523, 4.592, 5.523 Å; angles 90.00, 90.00, 90.00 degrees
Sites, in units of the cell vectors:
Na  0.500  0.500  0.500
Os  0.000  0.500  0.000
Se  0.000  0.000  0.500
Se  0.500  0.000  0.000
Br  0.000  0.000  0.000

Formation energy without anion corrections, eV per atom: 1.20
Space group: P4/mmm, No. 123


(11)
NaOsSe2Br | PBE | relaxed

Cell lengths 5.141, 5.141, 5.019 Å; angles 90.00, 90.00, 90.00 degrees
Sites, in units of the cell vectors:
Na  0.000  0.000  0.000
Os  0.500  0.500  0.500
Se  0.000  0.500  0.000
Se  0.500  0.000  0.000
Br  0.000  0.000  0.500

Formation energy without anion corrections, eV per atom: 1.49
Space group: P4/mmm, No. 123


(12)
NaSnOs2Br | PBE | relaxed

Cell lengths 4.976, 6.191, 4.976 Å; angles 90.00, 90.00, 90.00 degrees
Sites, in units of the cell vectors:
Na  0.000  0.500  0.000
Os  0.000  0.000  0.500
Os  0.500  0.000  0.000
Sn  0.000  0.000  0.000
Br  0.500  0.500  0.500

Formation energy without anion corrections, eV per atom: 1.66
Space group: P4/mmm, No. 123


(13)
NaTa2OsBr | PBE | relaxed

Cell lengths 4.728, 4.527, 4.728 Å; angles 90.00, 90.00, 90.00 degrees
Sites, in units of the cell vectors:
Na  0.000  0.500  0.000
Os  0.500  0.500  0.500
Br  0.000  0.000  0.000
Ta  0.000  0.000  0.500
Ta  0.500  0.000  0.000

Formation energy without anion corrections, eV per atom: 1.71
Space group: P4/mmm, No. 123


(14)
NaP2Br | PBE | relaxed

Cell lengths 3.763, 3.763, 18.478 Å; angles 84.15, 84.15, 90.00 degrees
Sites, in units of the cell vectors:
P  0.713  0.125  0.250
P  0.037  0.625  0.250
P  0.375  0.287  0.750
P  0.875  0.963  0.750
Br  0.000  0.000  0.000
Br  0.750  0.250  0.500
Na  0.500  0.500  0.000
Na  0.250  0.750  0.500

Formation energy without anion corrections, eV per atom: -0.29
Space group: I-42d, No. 122


(15)
Na2PBr2 | PBE | relaxed

Cell lengths 5.777, 5.777, 7.582 Å; angles 67.61, 67.61, 90.00 degrees
Sites, in units of the cell vectors:
P  0.000  0.000  0.000
Br  0.750  0.250  0.500
Br  0.250  0.750  0.500
Na  0.262  0.262  0.475
Na  0.738  0.738  0.525

Formation energy without anion corrections, eV per atom: -0.46
Space group: I4/mmm, No. 139


(16)
Na2PBr2 | PBE | relaxed

Cell lengths 8.555, 8.555, 3.598 Å; angles 90.00, 90.00, 90.00 degrees
Sites, in units of the cell vectors:
P  0.000  0.000  0.000
P  0.500  0.500  0.000
Br  0.153  0.653  0.500
Br  0.653  0.847  0.500
Br  0.847  0.347  0.500
Br  0.347  0.153  0.500
Na  0.353  0.853  0.000
Na  0.853  0.647  0.000
Na  0.647  0.147  0.000
Na  0.147  0.353  0.000

Formation energy without anion corrections, eV per atom: -0.46
Space group: P4/mbm, No. 127


(17)
Na2PBr | PBE | relaxed

Cell lengths 5.210, 5.210, 5.210 Å; angles 60.00, 60.00, 60.00 degrees
Sites, in units of the cell vectors:
P  0.000  0.000  0.000
Br  0.500  0.500  0.500
Na  0.250  0.250  0.250
Na  0.750  0.750  0.750

Formation energy without anion corrections, eV per atom: -0.30
Space group: Fm-3m, No. 225


(18)
NaPBr2 | PBE | relaxed

Cell lengths 8.974, 8.974, 8.974 Å; angles 24.67, 24.67, 24.67 degrees
Sites, in units of the cell vectors:
P  0.000  0.000  0.000
Br  0.905  0.905  0.905
Br  0.095  0.095  0.095
Na  0.500  0.500  0.500

Formation energy without anion corrections, eV per atom: -0.31
Space group: R-3m, No. 166


(19)
Na2PBr | PBE | relaxed

Cell lengths 7.906, 7.906, 6.420 Å; angles 52.00, 52.00, 90.00 degrees
Sites, in units of the cell vectors:
P  0.500  0.500  0.000
P  0.250  0.750  0.500
Br  0.000  0.000  0.000
Br  0.750  0.250  0.500
Na  0.621  0.125  0.250
Na  0.129  0.625  0.250
Na  0.375  0.379  0.750
Na  0.875  0.871  0.750

Formation energy without anion corrections, eV per atom: -0.32
Space group: I-42d, No. 122


(20)
NaPBr6 | PBE | relaxed

Cell lengths 9.231, 11.005, 7.167 Å; angles 39.85, 54.80, 41.33 degrees
Sites, in units of the cell vectors:
Na  0.000  0.000  0.000
P  0.500  0.500  0.000
Br  0.778  0.515  0.629
Br  0.778  0.144  0.371
Br  0.222  0.856  0.629
Br  0.222  0.485  0.371
Br  0.489  0.724  0.000
Br  0.511  0.276  0.000

Formation energy without anion corrections, eV per atom: -0.46
Space group: C2/m, No. 12